No. 1
The following is a DFT calculation (GGA-PBE) of a relaxed Mg3GaAg3 crystal.

Calculated values
Uncorrected energy: -34.897 eV/cell
E_form: -0.15 eV/atom
SG: P6_3/m, No. 176
Total magnetization: 0.00 μB/atom

a b c (Å): 4.9026 7.8259 7.8259
angles (deg): 120.00 90.00 90.00
Last column: nearest neighbours and their distance in Å.
Atoms (fractional coordinates):
Ga  0.2500  0.6667  0.3333  3 Ag 2.92, 9 Mg 2.97-3.02
Ga  0.7500  0.3333  0.6667  3 Ag 2.92, 9 Mg 2.97-3.02
Mg  0.2500  0.3659  0.4588  5 Ag 2.85-3.05, 3 Ga 2.97-3.02, 4 Mg 3.06-3.08
Mg  0.7500  0.9071  0.3659  5 Ag 2.85-3.05, 3 Ga 2.97-3.02, 4 Mg 3.06-3.08
Mg  0.7500  0.4588  0.0929  5 Ag 2.85-3.05, 3 Ga 2.97-3.02, 4 Mg 3.06-3.08
Mg  0.2500  0.5412  0.9071  5 Ag 2.85-3.05, 3 Ga 2.97-3.02, 4 Mg 3.06-3.08
Mg  0.7500  0.6341  0.5412  5 Ag 2.85-3.05, 3 Ga 2.97-3.02, 4 Mg 3.06-3.08
Mg  0.2500  0.0929  0.6341  5 Ag 2.85-3.05, 3 Ga 2.97-3.02, 4 Mg 3.06-3.08
Ag  0.2500  0.2432  0.0494  5 Mg 2.85-3.05, 1 Ga 2.92, 6 Ag 3.01-3.02
Ag  0.7500  0.7568  0.9506  5 Mg 2.85-3.05, 1 Ga 2.92, 6 Ag 3.01-3.02
Ag  0.2500  0.8061  0.7568  5 Mg 2.85-3.05, 1 Ga 2.92, 6 Ag 3.01-3.02
Ag  0.7500  0.0494  0.8061  5 Mg 2.85-3.05, 1 Ga 2.92, 6 Ag 3.01-3.02
Ag  0.2500  0.9506  0.1939  5 Mg 2.85-3.05, 1 Ga 2.92, 6 Ag 3.01-3.02
Ag  0.7500  0.1939  0.2432  5 Mg 2.85-3.05, 1 Ga 2.92, 6 Ag 3.01-3.02

No. 2
The following is a DFT calculation (GGA-PBE) of a relaxed Mg2GaAg4 crystal.

Calculated values
Uncorrected energy: -36.908 eV/cell
E_form: -0.12 eV/atom
SG: P1, No. 1
Total magnetization: 0.00 μB/atom

a b c (Å): 7.0942 5.9110 8.1020
angles (deg): 118.62 109.01 100.96
Last column: nearest neighbours and their distance in Å.
Atoms (fractional coordinates):
Ga  0.1778  0.8486  0.4675  7 Ag 2.65-2.96
Ga  0.8857  0.9882  0.0237  8 Ag 2.68-2.98
Mg  0.0511  0.3354  0.7721  9 Ag 2.75-3.07
Mg  0.7066  0.3628  0.2873  7 Ag 2.88-3.07, 3 Mg 2.94-3.10, 1 Ga 3.06
Mg  0.5907  0.3912  0.6325  8 Ag 2.87-3.12, 1 Ga 3.01, 1 Mg 3.10
Mg  0.6949  0.8546  0.2825  7 Ag 2.87-3.07, 3 Mg 2.94-3.18, 1 Ga 3.14
Ag  0.4513  0.7834  0.8879  1 Ga 2.70, 5 Ag 2.86-3.01, 4 Mg 2.87-3.00
Ag  0.6323  0.9108  0.6375  2 Ga 2.81-2.93, 5 Ag 2.91-3.04, 4 Mg 2.92-3.01
Ag  0.2980  0.4389  0.2019  2 Ga 2.87-2.89, 6 Ag 2.87-3.01, 3 Mg 2.93-3.02
Ag  0.8831  0.5032  0.0524  2 Ga 2.66-2.94, 3 Ag 2.75-2.97, 3 Mg 2.76-2.92
Ag  0.1266  0.3293  0.4525  3 Ga 2.68-2.99, 2 Mg 2.80-2.93, 2 Ag 2.87-2.93
Ag  0.4354  0.2670  0.8814  1 Ga 2.65, 3 Ag 2.75-2.91, 3 Mg 2.75-2.92
Ag  0.0262  0.7987  0.7311  2 Ga 2.70-2.79, 3 Mg 2.88-2.99, 4 Ag 2.90-3.02
Ag  0.2902  0.9378  0.1898  2 Ga 2.85-2.89, 6 Ag 2.86-3.15, 4 Mg 2.87-3.07

No. 3
The following is a DFT calculation (GGA-PBE) of a relaxed Mg4Ga3Ag2 crystal.

Calculated values
Uncorrected energy: -22.304 eV/cell
E_form: -0.13 eV/atom
SG: C2/m, No. 12
Total magnetization: 0.00 μB/atom

a b c (Å): 4.6270 4.8049 8.8462
angles (deg): 84.72 90.00 61.21
Last column: nearest neighbours and their distance in Å.
Atoms (fractional coordinates):
Ag  0.6712  0.6576  0.2117  1 Ga 2.84, 7 Mg 2.87-2.93
Ag  0.3288  0.3424  0.7883  1 Ga 2.84, 7 Mg 2.87-2.93
Mg  0.0065  0.9869  0.3260  6 Ga 2.88-3.14, 3 Ag 2.90-2.93, 3 Mg 3.09-3.22
Mg  0.3351  0.3298  0.1143  4 Ag 2.87-2.88, 4 Ga 2.90-3.13
Mg  0.9935  0.0131  0.6740  6 Ga 2.88-3.14, 3 Ag 2.90-2.93, 3 Mg 3.09-3.22
Mg  0.6649  0.6702  0.8857  4 Ag 2.87-2.88, 4 Ga 2.90-3.13
Ga  0.6629  0.6743  0.5315  3 Ga 2.74-2.83, 1 Ag 2.84, 3 Mg 2.93-3.06
Ga  0.0000  0.0000  0.0000  8 Mg 2.88-2.93, 4 Ag 3.22
Ga  0.3371  0.3257  0.4685  3 Ga 2.74-2.83, 1 Ag 2.84, 3 Mg 2.93-3.06

No. 4
The following is a DFT calculation (GGA-PBE) of a relaxed Mg6Ga12Ag crystal.

Calculated values
Uncorrected energy: -49.723 eV/cell
E_form: -0.05 eV/atom
SG: R-3, No. 148
Total magnetization: 0.00 μB/atom

a b c (Å): 7.3401 7.3401 7.3401
angles (deg): 99.62 99.62 99.62
Last column: nearest neighbours and their distance in Å.
Atoms (fractional coordinates):
Ag  0.0000  0.0000  0.0000  6 Ga 2.88, 6 Mg 3.06
Ga  0.5271  0.7906  0.5200  1 Ga 2.58, 2 Mg 2.84-2.87
Ga  0.7906  0.5200  0.5271  1 Ga 2.58, 2 Mg 2.84-2.87
Ga  0.4729  0.2094  0.4800  1 Ga 2.58, 2 Mg 2.84-2.87
Ga  0.5200  0.5271  0.7906  1 Ga 2.58, 2 Mg 2.84-2.87
Ga  0.9482  0.8730  0.5984  2 Ga 2.58-2.63, 1 Mg 2.84, 1 Ag 2.88
Ga  0.1270  0.4016  0.0519  2 Ga 2.58-2.63, 1 Mg 2.84, 1 Ag 2.88
Ga  0.0518  0.1270  0.4016  2 Ga 2.58-2.63, 1 Mg 2.84, 1 Ag 2.88
Ga  0.5984  0.9482  0.8730  2 Ga 2.58-2.63, 1 Mg 2.84, 1 Ag 2.88
Ga  0.4800  0.4729  0.2094  1 Ga 2.58, 2 Mg 2.84-2.87
Ga  0.2094  0.4800  0.4729  1 Ga 2.58, 2 Mg 2.84-2.87
Ga  0.8730  0.5984  0.9481  2 Ga 2.58-2.63, 1 Mg 2.84, 1 Ag 2.88
Ga  0.4016  0.0518  0.1270  2 Ga 2.58-2.63, 1 Mg 2.84, 1 Ag 2.88
Mg  0.8290  0.2158  0.7143  7 Ga 2.84-3.08, 1 Ag 3.06
Mg  0.2158  0.7143  0.8290  7 Ga 2.84-3.08, 1 Ag 3.06
Mg  0.1710  0.7842  0.2857  7 Ga 2.84-3.08, 1 Ag 3.06
Mg  0.7842  0.2857  0.1710  7 Ga 2.84-3.08, 1 Ag 3.06
Mg  0.2857  0.1710  0.7842  7 Ga 2.84-3.08, 1 Ag 3.06
Mg  0.7143  0.8290  0.2158  7 Ga 2.84-3.08, 1 Ag 3.06

No. 5
The following is a DFT calculation (GGA-PBE) of a relaxed Mg2GaAg4 crystal.

Calculated values
Uncorrected energy: -18.092 eV/cell
E_form: -0.07 eV/atom
SG: Cmmm, No. 65
Total magnetization: 0.00 μB/atom

a b c (Å): 4.4644 5.5164 5.5164
angles (deg): 98.49 90.00 90.00
Last column: nearest neighbours and their distance in Å.
Atoms (fractional coordinates):
Ag  0.5000  0.0000  0.5000  2 Ga 2.76, 4 Mg 2.88, 4 Ag 3.07
Ag  0.5000  0.5000  0.0000  2 Ga 2.76, 4 Mg 2.88, 4 Ag 3.07
Ag  0.0000  0.2063  0.2063  4 Mg 2.76-2.81, 5 Ag 2.97-3.07, 2 Ga 3.08
Ag  0.0000  0.7937  0.7937  4 Mg 2.76-2.81, 5 Ag 2.97-3.07, 2 Ga 3.08
Mg  0.0000  0.7219  0.2781  8 Ag 2.76-2.88, 2 Ga 2.90
Mg  0.0000  0.2781  0.7219  8 Ag 2.76-2.88, 2 Ga 2.90
Ga  0.5000  0.5000  0.5000  8 Ag 2.76-3.08, 4 Mg 2.90

No. 6
The following is a DFT calculation (GGA-PBE) of a relaxed Mg2GaAg9 crystal.

Calculated values
Uncorrected energy: -32.959 eV/cell
E_form: -0.09 eV/atom
SG: P4/mmm, No. 123
Total magnetization: 0.00 μB/atom

a b c (Å): 4.1149 4.1149 12.6443
angles (deg): 90.00 90.00 90.00
Last column: nearest neighbours and their distance in Å.
Atoms (fractional coordinates):
Ag  0.5000  0.0000  0.5000  8 Ag 2.91-2.97, 4 Mg 2.97
Ag  0.0000  0.5000  0.8356  8 Ag 2.91-2.94, 2 Ga 2.92, 2 Mg 2.94
Ag  0.5000  0.0000  0.1644  8 Ag 2.91-2.94, 2 Ga 2.92, 2 Mg 2.94
Ag  0.0000  0.5000  0.1644  8 Ag 2.91-2.94, 2 Ga 2.92, 2 Mg 2.94
Ag  0.5000  0.5000  0.6693  4 Mg 2.91, 8 Ag 2.94-2.97
Ag  0.5000  0.0000  0.8356  8 Ag 2.91-2.94, 2 Ga 2.92, 2 Mg 2.94
Ag  0.5000  0.5000  0.0000  4 Ga 2.91, 8 Ag 2.92
Ag  0.0000  0.5000  0.5000  8 Ag 2.91-2.97, 4 Mg 2.97
Ag  0.5000  0.5000  0.3307  4 Mg 2.91, 8 Ag 2.94-2.97
Mg  0.0000  0.0000  0.3310  12 Ag 2.91-2.97
Mg  0.0000  0.0000  0.6690  12 Ag 2.91-2.97
Ga  0.0000  0.0000  0.0000  12 Ag 2.91-2.92